Model A:
A plane-wave DFT calculation with PBE was carried out for a relaxed structure of RhN2O2.

Properties
Total magnetic moment: 0.00 μB per formula unit
Density of states at the Fermi level: 0.81 states/eV/atom

Cell: 3.1324 3.1329 9.1540 Å, 91.13 90.00 119.99°
Last column: nearest neighbours and their distance in Å.
Positions (direct):
Rh (0.0000, 0.0000, 0.0000)  6 O 2.03
N (0.9997, 0.9995, 0.4392)  1 N 1.11
N (0.0003, 0.0005, 0.5608)  1 N 1.11
O (0.6705, 0.3411, 0.1003)  3 Rh 2.03
O (0.3295, 0.6589, 0.8997)  3 Rh 2.03

Model B:
A plane-wave DFT calculation with PBE was carried out for a relaxed structure of RhN2O2.

Properties
Total magnetic moment: 0.00 μB per formula unit
Density of states at the Fermi level: 0.66 states/eV/atom

Cell: 3.5834 3.5834 3.4642 Å, 90.00 90.00 90.00°
Last column: nearest neighbours and their distance in Å.
Positions (direct):
Rh (0.5000, 0.5000, 0.5000)  8 N 2.49, 4 O 2.53
O (0.0000, 0.0000, 0.0000)  2 O 1.73, 4 N 1.79
O (0.0000, 0.0000, 0.5000)  2 O 1.73
N (0.0000, 0.5000, 0.0000)  2 O 1.79
N (0.5000, 0.0000, 0.0000)  2 O 1.79

Model C:
A plane-wave DFT calculation with PBE was carried out for a relaxed structure of RhN2O2.

Properties
Total magnetic moment: 0.41 μB per formula unit
Density of states at the Fermi level: 0.41 states/eV/atom

Cell: 3.7968 3.7968 4.1859 Å, 90.00 90.00 90.00°
Last column: nearest neighbours and their distance in Å.
Positions (direct):
Rh (0.0000, 0.0000, 0.0000)  4 O 1.90, 2 N 2.09
O (0.0000, 0.5000, 0.0000)  2 Rh 1.90
O (0.5000, 0.0000, 0.0000)  2 Rh 1.90
N (0.5000, 0.5000, 0.5000)  4 N 2.68, 8 O 2.83
N (0.0000, 0.0000, 0.5000)  2 Rh 2.09

Model D:
A plane-wave DFT calculation with PBE was carried out for a relaxed structure of RhN2O2.

Properties
Total magnetic moment: 1.26 μB per formula unit
Density of states at the Fermi level: 0.79 states/eV/atom

Cell: 3.9303 3.9303 3.8230 Å, 90.00 90.00 90.00°
Last column: nearest neighbours and their distance in Å.
Positions (direct):
Rh (0.0000, 0.0000, 0.0000)  2 O 1.91, 4 N 1.97
O (0.5000, 0.5000, 0.5000)  8 N 2.74, 4 O 2.78
O (0.0000, 0.0000, 0.5000)  2 Rh 1.91
N (0.0000, 0.5000, 0.0000)  2 Rh 1.97
N (0.5000, 0.0000, 0.0000)  2 Rh 1.97

Top of the stability list: model A, leading by 1913 meV/atom.